# 1
AgPN2 | GGA-PBE | relaxed

SG: I-42d (122)
Raw formation energy (eV per atom): -0.02

POSCAR file:
```
AgPN2
1.0
4.898 0.000 0.000
0.000 4.898 0.000
2.449 2.449 3.763
N Ag P
4 2 2
Direct
0.375 0.504 0.750
0.254 0.625 0.250
0.496 0.125 0.250
0.875 0.746 0.750
0.750 0.250 0.500
0.000 0.000 0.000
0.500 0.500 0.000
0.250 0.750 0.500
```

# 2
Mn3SiHg | GGA-PBE | relaxed

Distance to the lowest polymorph of the same formula (eV per formula unit): 4.14
SG: Pm-3m (221)
Raw formation energy (eV per atom): 1.33

POSCAR file:
```
Mn3SiHg
1.0
4.966 0.000 0.000
0.000 4.966 0.000
0.000 0.000 4.966
Mn Si Hg
3 1 1
Direct
0.500 0.000 0.000
0.000 0.000 0.500
0.000 0.500 0.000
0.500 0.500 0.500
0.000 0.000 0.000
```

# 3
CaRhBr2 | GGA-PBE | relaxed

Distance to the lowest polymorph of the same formula (eV per formula unit): 0.73
SG: Cmmm (65)
Raw formation energy (eV per atom): -0.63

POSCAR file:
```
CaRhBr2
1.0
-2.953 -0.783 -2.814
3.325 -2.422 -2.814
-0.888 -4.406 2.157
Rh Br Ca
1 2 1
Direct
0.500 0.750 0.750
0.000 0.974 0.974
0.000 0.526 0.526
0.500 0.250 0.250
```

# 4
ZrRhAu4 | GGA-PBE | relaxed

ΔH_f (0 K) (eV per atom): -0.30
Distance to the lowest polymorph of the same formula (eV per formula unit): 0.00
SG: C2/m (12)

POSCAR file:
```
ZrRhAu4
1.0
-0.388 4.912 -1.254
-3.894 -2.254 2.371
0.116 2.272 4.601
Zr Au Rh
1 4 1
Direct
0.498 0.003 0.001
0.664 0.837 0.501
0.163 0.339 0.001
0.332 0.169 0.501
0.834 0.667 0.001
0.998 0.503 0.501
```

# 5
LaYTm14 | GGA-PBE | relaxed

ΔH_f (0 K) (eV per atom): 0.01
SG: Amm2 (38)

POSCAR file:
```
LaYTm14
1.0
-3.631 5.345 -2.839
-0.525 -1.335 6.911
8.708 6.983 2.010
Tm Y La
14 1 1
Direct
0.374 0.125 0.245
0.042 0.958 0.000
0.208 0.292 0.500
0.376 0.624 0.249
0.876 0.124 0.247
0.374 0.125 0.755
0.542 0.958 0.000
0.875 0.626 0.755
0.042 0.458 0.000
0.376 0.624 0.751
0.876 0.124 0.753
0.708 0.792 0.500
0.875 0.626 0.245
0.541 0.459 0.000
0.208 0.792 0.500
0.708 0.292 0.500
```

# 6
Co2Pt2Cl | GGA-PBE | relaxed

Distance to the lowest polymorph of the same formula (eV per formula unit): 0.00
SG: P4/mbm (127)
Raw formation energy (eV per atom): 0.36

POSCAR file:
```
Co2Pt2Cl
1.0
7.550 0.000 0.000
0.000 7.550 0.000
0.000 0.000 2.736
Cl Co Pt
2 4 4
Direct
0.500 0.500 0.000
0.000 0.000 0.000
0.660 0.840 0.500
0.840 0.340 0.500
0.160 0.660 0.500
0.340 0.160 0.500
0.632 0.132 0.000
0.868 0.632 0.000
0.132 0.368 0.000
0.368 0.868 0.000
```

# 7
Pr2GeO | GGA-PBE | relaxed

Distance to the lowest polymorph of the same formula (eV per formula unit): 0.95
SG: R3m (160)
Raw formation energy (eV per atom): -1.42

POSCAR file:
```
Pr2GeO
1.0
-2.169 -2.061 2.126
1.447 -1.958 2.747
-1.214 4.531 6.321
Ge O Pr
1 1 2
Direct
0.668 0.668 0.997
0.498 0.498 0.507
0.239 0.239 0.282
0.095 0.095 0.714
```

# 8
BaIn2Mo | GGA-PBE | relaxed

ΔH_f (0 K) (eV per atom): 0.49
Distance to the lowest polymorph of the same formula (eV per formula unit): 1.03
SG: Immm (71)

POSCAR file:
```
BaIn2Mo
1.0
-1.448 5.960 2.125
-6.249 1.757 -0.037
4.629 -3.966 2.231
Mo Ba In
1 1 2
Direct
0.750 0.250 0.500
0.250 0.750 0.500
0.958 0.958 0.000
0.542 0.542 0.000
```

# 9
ZrPb | GGA-PBE | relaxed

ΔH_f (0 K) (eV per atom): -0.08
SG: Cm (8)

POSCAR file:
```
ZrPb
1.0
-4.654 -0.309 3.789
-1.865 -1.229 5.579
0.002 6.867 3.526
Zr Pb
3 3
Direct
0.335 0.335 0.352
0.970 0.970 0.602
0.259 0.259 0.944
0.686 0.686 0.663
0.615 0.615 0.267
0.969 0.969 0.006
```

# 10
Ta3ZnCu | GGA-PBE | relaxed

ΔH_f (0 K) (eV per atom): 1.22
Distance to the lowest polymorph of the same formula (eV per formula unit): 0.00
SG: Pm-3m (221)

POSCAR file:
```
Ta3ZnCu
1.0
4.634 0.000 0.000
0.000 4.634 0.000
0.000 0.000 4.634
Ta Zn Cu
3 1 1
Direct
0.000 0.000 0.500
0.000 0.500 0.000
0.500 0.000 0.000
0.500 0.500 0.500
0.000 0.000 0.000
```

# 11
La2TiN3 | GGA-PBE | relaxed

Distance to the lowest polymorph of the same formula (eV per formula unit): 0.00
SG: C2/c (15)
Raw formation energy (eV per atom): -1.44

POSCAR file:
```
La2TiN3
1.0
5.677 0.000 0.352
2.838 5.583 0.176
-0.119 0.000 12.239
N La Ti
12 8 4
Direct
0.616 0.768 0.250
0.688 0.196 0.541
0.157 0.335 0.373
0.384 0.232 0.750
0.995 0.010 0.250
0.843 0.665 0.627
0.508 0.335 0.127
0.884 0.804 0.041
0.116 0.196 0.959
0.005 0.990 0.750
0.312 0.804 0.459
0.492 0.665 0.873
0.028 0.402 0.148
0.570 0.402 0.352
0.430 0.598 0.648
0.972 0.598 0.852
0.883 0.775 0.427
0.117 0.225 0.573
0.342 0.775 0.073
0.658 0.225 0.927
0.717 0.005 0.668
0.278 0.005 0.832
0.722 0.995 0.168
0.283 0.995 0.332
```

# 12
U3Tl5S12 | GGA-PBE | relaxed

SG: Ia-3d (230)
Raw formation energy (eV per atom): -0.54

POSCAR file:
```
U3Tl5S12
1.0
13.898 0.000 0.000
-4.633 13.103 0.000
-4.633 -6.552 11.348
S Tl U
48 20 12
Direct
0.943 0.585 0.172
0.271 0.414 0.828
0.943 0.357 0.271
0.415 0.057 0.328
0.771 0.443 0.357
0.672 0.229 0.586
0.172 0.085 0.943
0.585 0.643 0.414
0.585 0.943 0.672
0.328 0.771 0.414
0.914 0.828 0.771
0.057 0.643 0.729
0.914 0.085 0.643
0.857 0.586 0.915
0.586 0.729 0.672
0.586 0.857 0.415
0.729 0.586 0.172
0.357 0.415 0.086
0.729 0.143 0.057
0.828 0.915 0.057
0.229 0.557 0.643
0.229 0.672 0.086
0.057 0.415 0.828
0.414 0.143 0.585
0.557 0.328 0.915
0.172 0.086 0.729
0.857 0.271 0.443
0.328 0.557 0.415
0.357 0.943 0.771
0.086 0.915 0.357
0.771 0.328 0.914
0.086 0.172 0.229
0.915 0.086 0.857
0.443 0.771 0.857
0.643 0.057 0.229
0.143 0.729 0.557
0.085 0.172 0.443
0.915 0.828 0.557
0.828 0.914 0.271
0.672 0.443 0.585
0.643 0.585 0.914
0.414 0.271 0.328
0.415 0.357 0.586
0.271 0.857 0.943
0.557 0.229 0.143
0.143 0.414 0.085
0.085 0.914 0.143
0.443 0.672 0.085
0.000 0.500 0.500
0.000 0.000 0.500
0.625 0.750 0.875
0.875 0.625 0.750
0.500 0.000 0.000
0.750 0.125 0.875
0.875 0.250 0.625
0.000 0.500 0.000
0.500 0.500 0.500
0.500 0.000 0.500
0.500 0.500 0.000
0.000 0.000 0.000
0.250 0.375 0.625
0.125 0.750 0.375
0.750 0.625 0.375
0.250 0.875 0.125
0.375 0.125 0.750
0.625 0.875 0.250
0.125 0.375 0.250
0.375 0.250 0.125
0.750 0.375 0.125
0.375 0.750 0.625
0.125 0.875 0.750
0.875 0.750 0.125
0.750 0.875 0.625
0.375 0.625 0.250
0.125 0.250 0.875
0.250 0.625 0.875
0.250 0.125 0.375
0.875 0.125 0.250
0.625 0.250 0.375
0.625 0.375 0.750
```

# 13
LiLaN2 | GGA-PBE | relaxed

Distance to the lowest polymorph of the same formula (eV per formula unit): 0.00
SG: I-42d (122)
Raw formation energy (eV per atom): -0.25

POSCAR file:
```
LiLaN2
1.0
-1.185 -0.306 -3.898
0.697 -4.024 0.104
-6.081 -3.129 -0.047
N La Li
4 2 2
Direct
0.324 0.625 0.250
0.875 0.676 0.750
0.375 0.574 0.750
0.426 0.125 0.250
0.750 0.250 0.500
0.000 0.000 0.000
0.500 0.500 0.000
0.250 0.750 0.500
```

# 14
CuReSi2 | GGA-PBE | relaxed

Distance to the lowest polymorph of the same formula (eV per formula unit): 1.97
SG: Cmm2 (35)
Raw formation energy (eV per atom): 0.35

POSCAR file:
```
CuReSi2
1.0
-0.327 -0.438 -2.632
-2.081 -1.245 1.160
-4.251 6.576 -0.566
Si Cu Re
2 1 1
Direct
0.000 0.000 0.001
0.500 0.500 0.255
0.000 0.000 0.487
0.500 0.500 0.756
```

# 15
Cs2SrCu3F12 | GGA-PBE | relaxed

SG: R-3m (166)
Raw formation energy (eV per atom): -2.22

POSCAR file:
```
Cs2SrCu3F12
1.0
7.412 -0.067 -0.047
3.602 6.478 -0.047
3.602 2.097 6.130
F Cu Sr Cs
12 3 1 2
Direct
0.089 0.714 0.714
0.286 0.286 0.911
0.108 0.108 0.601
0.714 0.714 0.089
0.108 0.601 0.108
0.892 0.892 0.399
0.286 0.911 0.286
0.911 0.286 0.286
0.399 0.892 0.892
0.601 0.108 0.108
0.892 0.399 0.892
0.714 0.089 0.714
0.000 0.000 0.500
0.500 0.000 0.000
0.000 0.500 0.000
0.000 0.000 0.000
0.388 0.388 0.388
0.612 0.612 0.612
```

# 16
AlAs2AuF | GGA-PBE | relaxed

SG: P4/mmm (123)
Raw formation energy (eV per atom): 0.30

POSCAR file:
```
AlAs2AuF
1.0
-1.151 -0.913 -4.128
4.805 0.352 -1.418
0.547 -4.274 0.793
Al As Au F
1 2 1 1
Direct
0.500 0.500 0.500
0.000 0.000 0.500
0.500 0.000 0.000
0.000 0.500 0.000
0.000 0.000 0.000
```

# 17
CeTh2 | GGA-PBE | relaxed

ΔH_f (0 K) (eV per atom): 0.33
Distance to the lowest polymorph of the same formula (eV per formula unit): 0.94
SG: Fd-3m (227)

POSCAR file:
```
CeTh2
1.0
6.590 0.000 0.000
3.295 5.707 0.000
3.295 1.902 5.381
Ce Th
2 4
Direct
0.250 0.250 0.250
0.000 0.000 0.000
0.625 0.125 0.625
0.125 0.625 0.625
0.625 0.625 0.125
0.625 0.625 0.625
```

# 18
ScCuRe2 | GGA-PBE | relaxed

ΔH_f (0 K) (eV per atom): 0.26
Distance to the lowest polymorph of the same formula (eV per formula unit): 1.22
SG: P4/mmm (123)

POSCAR file:
```
ScCuRe2
1.0
-1.832 1.758 0.824
-1.600 -0.726 -2.010
-3.556 -6.054 5.018
Sc Cu Re
1 1 2
Direct
0.500 0.500 0.250
0.500 0.500 0.750
0.000 0.000 0.979
0.000 0.000 0.521
```

# 19
Tm4In3Co | GGA-PBE | relaxed

ΔH_f (0 K) (eV per atom): -0.39
SG: P4/mmm (123)

POSCAR file:
```
Tm4In3Co
1.0
-2.670 1.728 1.106
-0.997 -2.680 1.780
8.906 5.381 13.087
Tm In Co
4 3 1
Direct
0.000 0.000 0.367
0.000 0.000 0.904
0.000 0.000 0.633
0.000 0.000 0.096
0.500 0.500 0.765
0.500 0.500 0.235
0.500 0.500 0.500
0.500 0.500 0.000
```

# 20
Cr2HSe | GGA-PBE | relaxed

Distance to the lowest polymorph of the same formula (eV per formula unit): 0.53
SG: Fm-3m (225)

POSCAR file:
```
Cr2HSe
1.0
4.061 0.166 0.012
1.890 3.466 0.967
2.011 0.305 3.519
Cr Se H
2 1 1
Direct
0.250 0.250 0.250
0.750 0.750 0.750
0.500 0.500 0.500
0.000 0.000 0.000
```

# 21
CsRbZnGeTeH | GGA-PBE | relaxed

Distance to the lowest polymorph of the same formula (eV per formula unit): 0.11
SG: Cm (8)

POSCAR file:
```
CsRbZnGeTeH
1.0
9.292 0.000 0.001
0.000 4.260 0.000
-9.042 0.000 10.574
Rb H Cs Ge Te Zn
2 2 2 2 2 2
Direct
0.744 0.500 0.915
0.744 0.000 0.415
0.437 0.500 0.279
0.437 0.000 0.779
0.189 0.500 0.353
0.189 0.000 0.853
0.288 0.500 0.125
0.288 0.000 0.625
0.745 0.500 0.637
0.745 0.000 0.137
0.565 0.000 0.635
0.565 0.500 0.135
```

In order of appearance, M_tot = 0.00 11.93 1.00 0.00 0.00 10.18 0.00 2.12 0.00 0.00 0.00 28.94 0.00 0.00 3.32 0.00 2.32 0.00 1.09 4.74 0.00 Bohr magnetons per cell.